1.
The following is a GGA-PBE calculation of Mn2OsPb after structural relaxation, from Alexandria via LeMat-Bulk.

Values from the calculation:
Total DFT energy (no corrections) in eV/atom: -7.758
DOS(E_F) in states/eV per cell: 7.1

Geometry as CIF:
```
data_Mn2OsPb
_symmetry_space_group_name_H-M 'C m m m'
_symmetry_Int_Tables_number 65
_symmetry_space_group_name_Hall '-C 2 2'
_cell_length_a 5.575
_cell_length_b 7.594
_cell_length_c 3.042
_cell_angle_alpha 90.00
_cell_angle_beta 90.00
_cell_angle_gamma 90.00
loop_
_atom_site_label
_atom_site_fract_x
_atom_site_fract_y
_atom_site_fract_z
Mn1 0.250 0.250 0.000
Os1 0.000 0.000 0.500
Pb1 0.000 0.500 0.500
```

***

2.
The following is a GGA-PBE calculation of Mn2OsPb after structural relaxation, from Alexandria via LeMat-Bulk.

Values from the calculation:
Total DFT energy (no corrections) in eV/atom: -7.823
DOS(E_F) in states/eV per cell: 3.5

Geometry as CIF:
```
data_Mn2OsPb
_symmetry_space_group_name_H-M 'P m m m'
_symmetry_Int_Tables_number 47
_cell_length_a 2.947
_cell_length_b 3.755
_cell_length_c 5.859
_cell_angle_alpha 90.00
_cell_angle_beta 90.00
_cell_angle_gamma 90.00
loop_
_symmetry_equiv_pos_as_xyz
'x,y,z'
'-x,-y,-z'
'-x,-y,z'
'x,y,-z'
'x,-y,-z'
'-x,y,z'
'-x,y,-z'
'x,-y,z'
loop_
_atom_site_label
_atom_site_fract_x
_atom_site_fract_y
_atom_site_fract_z
Mn1 0.000 0.000 0.201
Os1 0.500 0.500 0.000
Pb1 0.500 0.500 0.500
```

***

3.
The following is a GGA-PBE calculation of MnOs2Pb after structural relaxation, from Alexandria via LeMat-Bulk.

Values from the calculation:
Total DFT energy (no corrections) in eV/atom: -8.239
DOS(E_F) in states/eV per cell: 3.0

Geometry as CIF:
```
data_MnOs2Pb
_symmetry_space_group_name_H-M 'P m m 2'
_symmetry_Int_Tables_number 25
_cell_length_a 2.872
_cell_length_b 3.775
_cell_length_c 6.562
_cell_angle_alpha 90.00
_cell_angle_beta 90.00
_cell_angle_gamma 90.00
loop_
_symmetry_equiv_pos_as_xyz
'x,y,z'
'-x,-y,z'
'-x,y,z'
'x,-y,z'
loop_
_atom_site_label
_atom_site_fract_x
_atom_site_fract_y
_atom_site_fract_z
Mn1 0.000 0.000 0.000
Os1 0.000 0.000 0.384
Os2 0.500 0.500 0.217
Pb1 0.500 0.500 0.703
```

***

4.
The following is a GGA-PBE calculation of MnOs2Pb after structural relaxation, from Alexandria via LeMat-Bulk.

Values from the calculation:
Total DFT energy (no corrections) in eV/atom: -7.951
DOS(E_F) in states/eV per cell: 12.7

Geometry as CIF:
```
data_MnOs2Pb
_symmetry_space_group_name_H-M 'F -4 3 m'
_symmetry_Int_Tables_number 216
_symmetry_space_group_name_Hall 'F -4 2 3'
_cell_length_a 6.400
_cell_length_b 6.400
_cell_length_c 6.400
_cell_angle_alpha 90.00
_cell_angle_beta 90.00
_cell_angle_gamma 90.00
loop_
_atom_site_label
_atom_site_fract_x
_atom_site_fract_y
_atom_site_fract_z
Mn1 0.000 0.000 0.000
Os1 0.000 0.000 0.500
Os2 0.250 0.250 0.750
Pb1 0.250 0.250 0.250
```

***

5.
The following is a GGA-PBE calculation of Mn2OsPb after structural relaxation, from Alexandria via LeMat-Bulk.

Values from the calculation:
Total DFT energy (no corrections) in eV/atom: -7.718
DOS(E_F) in states/eV per cell: 8.0

Geometry as CIF:
```
data_Mn2OsPb
_symmetry_space_group_name_H-M 'I 4/m m m'
_symmetry_Int_Tables_number 139
_symmetry_space_group_name_Hall '-I 4 2'
_cell_length_a 4.110
_cell_length_b 4.110
_cell_length_c 7.565
_cell_angle_alpha 90.00
_cell_angle_beta 90.00
_cell_angle_gamma 90.00
loop_
_atom_site_label
_atom_site_fract_x
_atom_site_fract_y
_atom_site_fract_z
Mn1 0.000 0.500 0.250
Os1 0.000 0.000 0.000
Pb1 0.000 0.000 0.500
```

***

6.
The following is a GGA-PBE calculation of MnOs2Pb after structural relaxation, from Alexandria via LeMat-Bulk.

Values from the calculation:
Total DFT energy (no corrections) in eV/atom: -8.287
DOS(E_F) in states/eV per cell: 2.4

Geometry as CIF:
```
data_MnOs2Pb
_symmetry_space_group_name_H-M 'P 4 m m'
_symmetry_Int_Tables_number 99
_cell_length_a 2.943
_cell_length_b 2.943
_cell_length_c 8.316
_cell_angle_alpha 90.00
_cell_angle_beta 90.00
_cell_angle_gamma 90.00
loop_
_symmetry_equiv_pos_as_xyz
'x,y,z'
'-y,x,z'
'-x,-y,z'
'y,-x,z'
'-x,y,z'
'y,x,z'
'x,-y,z'
'-y,-x,z'
loop_
_atom_site_label
_atom_site_fract_x
_atom_site_fract_y
_atom_site_fract_z
Mn1 0.000 0.000 0.000
Os1 0.000 0.000 0.408
Os2 0.500 0.500 0.216
Pb1 0.500 0.500 0.683
```

***

7.
The following is a GGA-PBE calculation of MnOs2Pb after structural relaxation, from Alexandria via LeMat-Bulk.

Values from the calculation:
Total DFT energy (no corrections) in eV/atom: -8.111
DOS(E_F) in states/eV per cell: 8.2

Geometry as CIF:
```
data_MnOs2Pb
_symmetry_space_group_name_H-M 'R 3 m'
_symmetry_Int_Tables_number 160
_symmetry_space_group_name_Hall 'R 3 -2"'
_cell_length_a 2.9494
_cell_length_b 2.9494
_cell_length_c 27.8546
_cell_angle_alpha 90.00
_cell_angle_beta 90.00
_cell_angle_gamma 120.00
loop_
_atom_site_label
_atom_site_fract_x
_atom_site_fract_y
_atom_site_fract_z
Mn1 0.0000 0.0000 0.0000
Os1 0.0000 0.0000 0.2586
Os2 0.0000 0.0000 0.5205
Pb1 0.0000 0.0000 0.7608
```

***

8.
The following is a GGA-PBE calculation of Mn2OsPb after structural relaxation, from Alexandria via LeMat-Bulk.

Values from the calculation:
Total DFT energy (no corrections) in eV/atom: -7.773
DOS(E_F) in states/eV per cell: 3.2

Geometry as CIF:
```
data_Mn2OsPb
_symmetry_space_group_name_H-M 'P m m 2'
_symmetry_Int_Tables_number 25
_cell_length_a 2.995
_cell_length_b 3.601
_cell_length_c 6.035
_cell_angle_alpha 90.00
_cell_angle_beta 90.00
_cell_angle_gamma 90.00
loop_
_symmetry_equiv_pos_as_xyz
'x,y,z'
'-x,-y,z'
'-x,y,z'
'x,-y,z'
loop_
_atom_site_label
_atom_site_fract_x
_atom_site_fract_y
_atom_site_fract_z
Mn1 0.000 0.000 0.000
Mn2 0.500 0.500 0.214
Os1 0.000 0.000 0.405
Pb1 0.500 0.500 0.717
```